DFT (GGA-PBEsol) results for crystalline KMg2Pb2 at its relaxed geometry.

Geometry as extended XYZ:
```
10
Lattice="-2.051 -2.456 0.954 6.496 -3.198 5.730 -3.301 5.376 6.743" Properties=species:S:1:pos:R:3 pbc="T T T"
Pb -0.551 3.438 7.665
Pb 3.320 0.826 9.259
Pb 3.746 -1.260 4.808
Pb -0.125 1.353 3.214
K 0.000 0.000 0.000
K 1.597 1.089 6.237
Mg -2.245 1.753 5.530
Mg 0.242 1.393 9.949
Mg 3.389 -2.032 7.898
Mg 0.902 -1.671 3.479
```

Results
- SG: P4/mbm



DFT (GGA-PBEsol) results for crystalline AlTcW at its relaxed geometry.

Geometry as extended XYZ:
```
3
Lattice="3.082 0.000 0.000 0.000 3.082 0.000 -1.541 -1.541 4.590" Properties=species:S:1:pos:R:3 pbc="T T T"
Tc 1.541 1.541 1.576
W 0.000 0.000 2.978
Al 0.000 0.000 0.036
```

Results
- SG: I4mm



no.,calculated volume (Å³/cell),DOS(E_F) (states/eV per cell),energy relative to the elements (kcal/mol of atoms)
1,284.7,4.6,-2.387
2,43.6,0.9,-5.420